1.
{
  "formula": "YSbPb2",
  "functional": "PBE",
  "state": "optimized geometry",
  "vol_a3_per_cell": 248.4,
  "energy_ev_per_atom": -4.633,
  "raw_formation_energy_ev_per_atom": -0.1323,
  "cell": [[-6.3313, -6.1626, -0.1774], [6.0081, -6.1104, -2.1588], [0.3362, -6.7367, 1.9162]],
  "species": ["Pb", "Pb", "Pb", "Pb", "Sb", "Sb", "Y", "Y"],
  "frac_coords": [[0.1146, 0.6250, 0.2500], [0.8750, 0.8854, 0.7500], [0.6354, 0.1250, 0.2500], [0.3750, 0.3646, 0.7500], [0.0000, 0.0000, 0.0000], [0.7500, 0.2500, 0.5000], [0.2500, 0.7500, 0.5000], [0.5000, 0.5000, 0.0000]]
}


2.
{
  "formula": "YSb2Pb2",
  "functional": "PBE",
  "state": "optimized geometry",
  "vol_a3_per_cell": 308.2,
  "energy_ev_per_atom": -4.666,
  "raw_formation_energy_ev_per_atom": -0.2408,
  "cell": [[8.0360, 0.0000, 0.0000], [0.0000, 8.0360, 0.0000], [0.0000, 0.0000, 4.7725]],
  "species": ["Pb", "Pb", "Pb", "Pb", "Sb", "Sb", "Sb", "Sb", "Y", "Y"],
  "frac_coords": [[0.8315, 0.3315, 0.5000], [0.6685, 0.8315, 0.5000], [0.1685, 0.6685, 0.5000], [0.3315, 0.1685, 0.5000], [0.3583, 0.8583, 0.0000], [0.1417, 0.3583, 0.0000], [0.6417, 0.1417, 0.0000], [0.8583, 0.6417, 0.0000], [0.5000, 0.5000, 0.0000], [0.0000, 0.0000, 0.0000]]
}


3.
{
  "formula": "YSbPb2",
  "functional": "PBE",
  "state": "optimized geometry",
  "vol_a3_per_cell": 118.2,
  "energy_ev_per_atom": -4.711,
  "raw_formation_energy_ev_per_atom": -0.2098,
  "cell": [[5.5087, 0.0000, 0.0000], [2.7543, 4.7707, 0.0000], [2.7543, 1.5902, 4.4978]],
  "species": ["Pb", "Pb", "Y", "Sb"],
  "frac_coords": [[0.0000, 0.0000, 0.0000], [0.2500, 0.2500, 0.2500], [0.7500, 0.7500, 0.7500], [0.5000, 0.5000, 0.5000]]
}